A plane-wave DFT calculation with PBE was carried out for a geometry-optimized Lu2BeIr structure.

Cell and atoms, written as extended XYZ:
```
4
Lattice="0.000 3.270 3.270 3.270 0.000 3.270 3.270 3.270 0.000" Properties=species:S:1:pos:R:3 pbc="T T T"
Lu 0.000 0.000 0.000
Lu 1.635 1.635 1.635
Be 3.270 3.270 3.270
Ir 4.904 4.904 4.904
```

Computed properties:
SG: No. 216
Mass density, g/cm3: 13.1
Energy, eV per atom: -5.64
Magnetization, μB per formula unit: 0.0